Below is Li2NiW after structural relaxation, with properties calculated at the GGA-PBE level.

**Calculated density**: 8.73 g/cm³
**DFT total energy**: -20.75 eV per cell
**Size of the total moment**: 0.00 Bohr magnetons per cell
**Volume**: 49 Å³/cell

Cell and atoms, written as POSCAR:
```
Li2NiW
1.0
0.000 2.900 2.900
2.900 0.000 2.900
2.900 2.900 0.000
Li Ni W
2 1 1
Direct
0.000 0.000 0.000
0.250 0.250 0.250
0.750 0.750 0.750
0.500 0.500 0.500
```